VASP calculation (GGA-PBE) on an optimized crystal structure of Li2SbO2.

a = 3.8504 Å, b = 3.8504 Å, c = 4.7931 Å
α = 66.32°, β = 66.32°, γ = 90.00°
Last column: nearest neighbours and their distance in Å.
Fractional coordinates of all 5 atoms:
1 Sb 0.0000 0.0000 0.0000  2 Li 2.54, 8 O 2.76
2 O 0.7500 0.2500 0.5000  4 Li 2.01
3 O 0.2500 0.7500 0.5000  4 Li 2.01
4 Li 0.3224 0.3224 0.3552  4 O 2.01
5 Li 0.6776 0.6776 0.6448  4 O 2.01

Results
raw formation energy	-4.32	eV per formula unit
theoretical density	4.760	Mg/m³
raw total energy	-4.437	eV per atom
volume	58	Å³/cell